A geometry-optimized MnMoSCl2 structure. Source: Alexandria via LeMat-Bulk, functional PBE. Values from VASP.

The volume comes out at 110.5 Å³/cell. Its uncorrected formation energy is 0.26 eV per atom. The calculation puts the energy above the most stable polymorph in this dataset at 129 meV/atom. The total energy is -5.305 eV/atom.

```
&SYSTEM
  ibrav = 0, nat = 5, ntyp = 4
/
ATOMIC_SPECIES
Mn 54.94 Mn.upf
Mo 95.94 Mo.upf
S 32.06 S.upf
Cl 35.45 Cl.upf
CELL_PARAMETERS angstrom
4.721 0.000 0.000
0.000 4.721 0.000
0.000 0.000 4.957
ATOMIC_POSITIONS crystal
Mn 0.000 0.000 0.000
Mo 0.500 0.500 0.500
S 0.000 0.000 0.500
Cl 0.000 0.500 0.000
Cl 0.500 0.000 0.000
```

***

A geometry-optimized LiTa2In structure. Source: Alexandria via LeMat-Bulk, functional PBE. Values from VASP.

The volume comes out at 150.3 Å³/cell. The total energy is -6.324 eV/atom. The formation energy comes out at 0.765 eV/atom.

```
&SYSTEM
  ibrav = 0, nat = 8, ntyp = 3
/
ATOMIC_SPECIES
Li 6.94 Li.upf
Ta 180.95 Ta.upf
In 114.82 In.upf
CELL_PARAMETERS angstrom
-3.773 3.773 2.640
3.773 -3.773 2.640
3.773 3.773 -2.640
ATOMIC_POSITIONS crystal
Li 0.000 0.000 0.000
Li 0.750 0.250 0.500
Ta 0.111 0.625 0.986
Ta 0.375 0.361 0.486
Ta 0.639 0.125 0.014
Ta 0.875 0.889 0.514
In 0.250 0.750 0.500
In 0.500 0.500 0.000
```

***

A geometry-optimized Ce2In5I12 structure. Source: Alexandria via LeMat-Bulk, functional PBE. Values from VASP.

The volume comes out at 913.5 Å³/cell. Its uncorrected formation energy is -0.80 eV per atom. The total energy is -3.123 eV/atom.

```
&SYSTEM
  ibrav = 0, nat = 19, ntyp = 3
/
ATOMIC_SPECIES
Ce 140.12 Ce.upf
In 114.82 In.upf
I 126.90 I.upf
CELL_PARAMETERS angstrom
9.466 -4.564 0.000
9.466 4.564 0.000
-3.511 0.000 10.572
ATOMIC_POSITIONS crystal
Ce 0.247 0.753 0.000
Ce 0.753 0.247 0.000
In 0.182 0.182 0.775
In 0.217 0.217 0.377
In 0.500 0.500 0.500
In 0.783 0.783 0.623
In 0.818 0.818 0.225
I 0.004 0.004 0.201
I 0.070 0.597 0.910
I 0.109 0.611 0.448
I 0.389 0.891 0.552
I 0.403 0.930 0.090
I 0.498 0.498 0.190
I 0.502 0.502 0.810
I 0.597 0.070 0.910
I 0.611 0.109 0.448
I 0.891 0.389 0.552
I 0.930 0.403 0.090
I 0.996 0.996 0.799
```

***

A geometry-optimized ZnSnHgBr4 structure. Source: Alexandria via LeMat-Bulk, functional PBE. Values from VASP.

The volume comes out at 569.9 Å³/cell. Its uncorrected formation energy is -0.65 eV per atom. The total energy is -2.399 eV/atom.

```
&SYSTEM
  ibrav = 0, nat = 14, ntyp = 4
/
ATOMIC_SPECIES
Zn 65.41 Zn.upf
Sn 118.71 Sn.upf
Hg 200.59 Hg.upf
Br 79.90 Br.upf
CELL_PARAMETERS angstrom
6.869 -4.953 0.000
6.869 4.953 0.000
-3.415 0.000 8.376
ATOMIC_POSITIONS crystal
Zn 0.163 0.163 0.307
Zn 0.837 0.837 0.693
Sn 0.226 0.226 0.929
Sn 0.774 0.774 0.071
Hg 0.467 0.467 0.171
Hg 0.533 0.533 0.829
Br 0.002 0.629 0.865
Br 0.018 0.018 0.707
Br 0.283 0.283 0.575
Br 0.371 0.998 0.135
Br 0.629 0.002 0.865
Br 0.717 0.717 0.425
Br 0.982 0.982 0.293
Br 0.998 0.371 0.135
```

***

A geometry-optimized CePa3Os2 structure. Source: Alexandria via LeMat-Bulk, functional PBE. Values from VASP.

The volume comes out at 272.8 Å³/cell. The total energy is -9.681 eV/atom. The formation energy comes out at -0.201 eV/atom.

```
&SYSTEM
  ibrav = 0, nat = 12, ntyp = 3
/
ATOMIC_SPECIES
Ce 140.12 Ce.upf
Pa 231.04 Pa.upf
Os 190.23 Os.upf
CELL_PARAMETERS angstrom
8.116 -2.263 0.000
8.116 2.263 0.000
-3.855 0.000 7.424
ATOMIC_POSITIONS crystal
Ce 0.109 0.109 0.030
Ce 0.891 0.891 0.970
Pa 0.067 0.067 0.419
Pa 0.289 0.289 0.637
Pa 0.377 0.377 0.313
Pa 0.623 0.623 0.687
Pa 0.711 0.711 0.363
Pa 0.933 0.933 0.581
Os 0.231 0.231 0.881
Os 0.477 0.477 0.802
Os 0.523 0.523 0.198
Os 0.769 0.769 0.119
```

***

A geometry-optimized TmTeCl structure. Source: Alexandria via LeMat-Bulk, functional PBE. Values from VASP.

The volume comes out at 548.4 Å³/cell. Its uncorrected formation energy is -1.65 eV per atom. The total energy is -4.805 eV/atom.

```
&SYSTEM
  ibrav = 0, nat = 18, ntyp = 3
/
ATOMIC_SPECIES
Tm 168.93 Tm.upf
Te 127.60 Te.upf
Cl 35.45 Cl.upf
CELL_PARAMETERS angstrom
6.768 -2.934 0.000
6.768 2.934 0.000
-1.963 0.000 13.805
ATOMIC_POSITIONS crystal
Tm 0.083 0.543 0.070
Tm 0.180 0.820 0.500
Tm 0.475 0.863 0.258
Tm 0.543 0.083 0.570
Tm 0.820 0.180 0.000
Tm 0.863 0.475 0.758
Te 0.066 0.626 0.643
Te 0.344 0.955 0.694
Te 0.347 0.715 0.059
Te 0.626 0.066 0.143
Te 0.715 0.347 0.559
Te 0.955 0.344 0.194
Cl 0.117 0.242 0.932
Cl 0.242 0.117 0.432
Cl 0.338 0.646 0.323
Cl 0.646 0.338 0.823
Cl 0.799 0.847 0.403
Cl 0.847 0.799 0.903
```

***

A geometry-optimized ZnNi2Rh structure. Source: Alexandria via LeMat-Bulk, functional PBE. Values from VASP.

The volume comes out at 108.7 Å³/cell. The total energy is -4.807 eV/atom. The formation energy comes out at 0.240 eV/atom.

```
&SYSTEM
  ibrav = 0, nat = 8, ntyp = 3
/
ATOMIC_SPECIES
Zn 65.41 Zn.upf
Ni 58.69 Ni.upf
Rh 102.91 Rh.upf
CELL_PARAMETERS angstrom
-1.767 1.767 8.705
1.767 -1.767 8.705
1.767 1.767 -8.705
ATOMIC_POSITIONS crystal
Zn 0.000 0.000 0.000
Zn 0.750 0.250 0.500
Ni 0.122 0.625 0.997
Ni 0.375 0.372 0.497
Ni 0.628 0.125 0.003
Ni 0.875 0.878 0.503
Rh 0.250 0.750 0.500
Rh 0.500 0.500 0.000
```

***

A geometry-optimized ScAl5Rh6 structure. Source: Alexandria via LeMat-Bulk, functional PBE. Values from VASP.

The volume comes out at 168.6 Å³/cell. The total energy is -6.854 eV/atom. The formation energy comes out at -1.091 eV/atom.

```
&SYSTEM
  ibrav = 0, nat = 12, ntyp = 3
/
ATOMIC_SPECIES
Sc 44.96 Sc.upf
Al 26.98 Al.upf
Rh 102.91 Rh.upf
CELL_PARAMETERS angstrom
2.141 -6.431 0.000
2.141 6.431 0.000
0.000 0.000 6.123
ATOMIC_POSITIONS crystal
Sc 0.000 0.000 0.000
Al 0.000 0.000 0.500
Al 0.333 0.667 0.000
Al 0.334 0.666 0.500
Al 0.666 0.334 0.500
Al 0.667 0.333 0.000
Rh 0.170 0.830 0.255
Rh 0.170 0.830 0.745
Rh 0.500 0.500 0.260
Rh 0.500 0.500 0.740
Rh 0.830 0.170 0.255
Rh 0.830 0.170 0.745
```

***

A geometry-optimized BeSiP2 structure. Source: Alexandria via LeMat-Bulk, functional PBE. Values from VASP.

The volume comes out at 64.3 Å³/cell. Its uncorrected formation energy is 0.03 eV per atom. The calculation puts the energy above the most stable polymorph in this dataset at 404 meV/atom. The total energy is -4.967 eV/atom.

```
&SYSTEM
  ibrav = 0, nat = 4, ntyp = 3
/
ATOMIC_SPECIES
Be 9.01 Be.upf
Si 28.09 Si.upf
P 30.97 P.upf
CELL_PARAMETERS angstrom
2.688 0.000 0.000
0.000 3.851 0.000
-1.335 0.000 6.215
ATOMIC_POSITIONS crystal
Be 0.000 0.000 0.000
Si 0.736 0.500 0.472
P 0.636 0.000 0.272
P 0.922 0.500 0.844
```

***

A geometry-optimized HgIrRuO6 structure. Source: Alexandria via LeMat-Bulk, functional PBE. Values from VASP.

The volume comes out at 261.2 Å³/cell. Its uncorrected formation energy is -0.55 eV per atom. The total energy is -5.907 eV/atom.

```
&SYSTEM
  ibrav = 0, nat = 18, ntyp = 4
/
ATOMIC_SPECIES
Hg 200.59 Hg.upf
Ir 192.22 Ir.upf
Ru 101.07 Ru.upf
O 16.00 O.upf
CELL_PARAMETERS angstrom
-3.571 3.580 5.106
3.571 -3.580 5.106
3.571 3.580 -5.106
ATOMIC_POSITIONS crystal
Hg 0.430 0.180 0.250
Hg 0.570 0.820 0.750
Ir 0.000 0.500 0.500
Ir 0.500 0.500 0.000
Ru 0.000 0.000 0.500
Ru 0.000 0.500 0.000
O 0.058 0.808 0.250
O 0.071 0.430 0.251
O 0.071 0.820 0.641
O 0.321 0.180 0.751
O 0.321 0.570 0.141
O 0.325 0.575 0.750
O 0.675 0.425 0.250
O 0.679 0.430 0.859
O 0.679 0.820 0.249
O 0.929 0.180 0.359
O 0.929 0.570 0.749
O 0.942 0.192 0.750
```

***

A geometry-optimized RbSc2Ag2 structure. Source: Alexandria via LeMat-Bulk, functional PBE. Values from VASP.

The volume comes out at 249.5 Å³/cell. The calculation puts the energy above the most stable polymorph in this dataset at 0 meV/atom. The total energy is -3.730 eV/atom. The formation energy comes out at 0.137 eV/atom.

```
&SYSTEM
  ibrav = 0, nat = 10, ntyp = 3
/
ATOMIC_SPECIES
Rb 85.47 Rb.upf
Sc 44.96 Sc.upf
Ag 107.87 Ag.upf
CELL_PARAMETERS angstrom
8.778 0.000 0.000
0.000 8.778 0.000
0.000 0.000 3.238
ATOMIC_POSITIONS crystal
Rb 0.000 0.000 0.000
Rb 0.500 0.500 0.000
Sc 0.127 0.373 0.000
Sc 0.373 0.873 0.000
Sc 0.627 0.127 0.000
Sc 0.873 0.627 0.000
Ag 0.161 0.661 0.500
Ag 0.339 0.161 0.500
Ag 0.661 0.839 0.500
Ag 0.839 0.339 0.500
```

***

A geometry-optimized Hf7Ge2As2 structure. Source: Alexandria via LeMat-Bulk, functional PBE. Values from VASP.

The volume comes out at 236.6 Å³/cell. The total energy is -8.262 eV/atom. The formation energy comes out at -0.243 eV/atom.

```
&SYSTEM
  ibrav = 0, nat = 11, ntyp = 3
/
ATOMIC_SPECIES
Hf 178.49 Hf.upf
Ge 72.64 Ge.upf
As 74.92 As.upf
CELL_PARAMETERS angstrom
4.818 -4.003 0.000
4.818 4.003 0.000
-0.951 0.000 6.133
ATOMIC_POSITIONS crystal
Hf 0.000 0.000 0.000
Hf 0.026 0.453 0.266
Hf 0.453 0.026 0.266
Hf 0.490 0.490 0.736
Hf 0.510 0.510 0.264
Hf 0.547 0.974 0.734
Hf 0.974 0.547 0.734
Ge 0.192 0.808 0.500
Ge 0.808 0.192 0.500
As 0.274 0.274 0.950
As 0.726 0.726 0.050
```

***

A geometry-optimized AsW2Cl structure. Source: Alexandria via LeMat-Bulk, functional PBE. Values from VASP.

The volume comes out at 103.5 Å³/cell. Its uncorrected formation energy is 0.24 eV per atom. The calculation puts the energy above the most stable polymorph in this dataset at 255 meV/atom. The total energy is -7.858 eV/atom.

```
&SYSTEM
  ibrav = 0, nat = 4, ntyp = 3
/
ATOMIC_SPECIES
As 74.92 As.upf
W 183.84 W.upf
Cl 35.45 Cl.upf
CELL_PARAMETERS angstrom
4.146 -1.636 0.000
4.146 1.636 0.000
-0.841 0.000 7.628
ATOMIC_POSITIONS crystal
As 0.000 0.000 0.000
W 0.288 0.288 0.123
W 0.610 0.610 0.270
Cl 0.643 0.643 0.568
```

***

A geometry-optimized NaTiSb2 structure. Source: Alexandria via LeMat-Bulk, functional PBE. Values from VASP.

The volume comes out at 91.5 Å³/cell. Its uncorrected formation energy is -0.09 eV per atom. The calculation puts the energy above the most stable polymorph in this dataset at 243 meV/atom. The total energy is -4.452 eV/atom.

```
&SYSTEM
  ibrav = 0, nat = 4, ntyp = 3
/
ATOMIC_SPECIES
Na 22.99 Na.upf
Ti 47.87 Ti.upf
Sb 121.76 Sb.upf
CELL_PARAMETERS angstrom
0.000 3.577 3.577
3.577 0.000 3.577
3.577 3.577 0.000
ATOMIC_POSITIONS crystal
Na 0.000 0.000 0.000
Ti 0.500 0.500 0.500
Sb 0.250 0.250 0.250
Sb 0.750 0.750 0.750
```

***

A geometry-optimized ScBeTl structure. Source: Alexandria via LeMat-Bulk, functional PBE. Values from VASP.

The volume comes out at 231.1 Å³/cell. The calculation puts the energy above the most stable polymorph in this dataset at 195 meV/atom. The total energy is -4.034 eV/atom. The formation energy comes out at 0.107 eV/atom.

```
&SYSTEM
  ibrav = 0, nat = 12, ntyp = 3
/
ATOMIC_SPECIES
Sc 44.96 Sc.upf
Be 9.01 Be.upf
Tl 204.38 Tl.upf
CELL_PARAMETERS angstrom
5.866 0.000 0.000
0.000 3.454 0.000
0.000 0.000 11.407
ATOMIC_POSITIONS crystal
Sc 0.242 0.250 0.091
Sc 0.258 0.750 0.591
Sc 0.742 0.250 0.409
Sc 0.758 0.750 0.909
Be 0.007 0.250 0.751
Be 0.493 0.750 0.251
Be 0.507 0.250 0.749
Be 0.993 0.750 0.249
Tl 0.242 0.250 0.372
Tl 0.258 0.750 0.872
Tl 0.742 0.250 0.128
Tl 0.758 0.750 0.628
```

***

A geometry-optimized Pt structure. Source: Alexandria via LeMat-Bulk, functional PBE. Values from VASP.

The volume comes out at 18.1 Å³/cell. The calculation puts the energy above the most stable polymorph in this dataset at 410 meV/atom. The total energy is -5.630 eV/atom. The formation energy comes out at 0.410 eV/atom.

```
&SYSTEM
  ibrav = 0, nat = 1, ntyp = 1
/
ATOMIC_SPECIES
Pt 195.08 Pt.upf
CELL_PARAMETERS angstrom
2.625 0.000 0.000
0.000 2.625 0.000
0.000 0.000 2.625
ATOMIC_POSITIONS crystal
Pt 0.000 0.000 0.000
```

***

A geometry-optimized La2Zn3CdAu4 structure. Source: Alexandria via LeMat-Bulk, functional PBE. Values from VASP.

The volume comes out at 219.0 Å³/cell. The total energy is -3.299 eV/atom. The formation energy comes out at -0.528 eV/atom.

```
&SYSTEM
  ibrav = 0, nat = 10, ntyp = 4
/
ATOMIC_SPECIES
La 138.91 La.upf
Zn 65.41 Zn.upf
Cd 112.41 Cd.upf
Au 196.97 Au.upf
CELL_PARAMETERS angstrom
4.304 0.000 0.000
0.000 4.304 0.000
0.000 0.000 11.827
ATOMIC_POSITIONS crystal
La 0.000 0.500 0.240
La 0.500 0.000 0.760
Zn 0.000 0.500 0.871
Zn 0.500 0.000 0.129
Zn 0.500 0.500 0.500
Cd 0.000 0.000 0.500
Au 0.000 0.000 0.000
Au 0.000 0.500 0.653
Au 0.500 0.000 0.347
Au 0.500 0.500 0.000
```

***

A geometry-optimized ScTa3N structure. Source: Alexandria via LeMat-Bulk, functional PBE. Values from VASP.

The volume comes out at 104.5 Å³/cell. Its uncorrected formation energy is 2.98 eV per atom. The calculation puts the energy above the most stable polymorph in this dataset at 3393 meV/atom. The total energy is -7.066 eV/atom.

```
&SYSTEM
  ibrav = 0, nat = 5, ntyp = 3
/
ATOMIC_SPECIES
Sc 44.96 Sc.upf
Ta 180.95 Ta.upf
N 14.01 N.upf
CELL_PARAMETERS angstrom
4.710 0.000 0.000
0.000 4.710 0.000
0.000 0.000 4.710
ATOMIC_POSITIONS crystal
Sc 0.000 0.000 0.000
Ta 0.000 0.000 0.500
Ta 0.000 0.500 0.000
Ta 0.500 0.000 0.000
N 0.500 0.500 0.500
```

***

A geometry-optimized Er2BeN structure. Source: Alexandria via LeMat-Bulk, functional PBE. Values from VASP.

The volume comes out at 82.5 Å³/cell. Its uncorrected formation energy is -0.18 eV per atom. The total energy is -5.474 eV/atom.

```
&SYSTEM
  ibrav = 0, nat = 4, ntyp = 3
/
ATOMIC_SPECIES
Er 167.26 Er.upf
Be 9.01 Be.upf
N 14.01 N.upf
CELL_PARAMETERS angstrom
1.688 0.974 8.361
-1.688 0.974 8.361
0.000 -1.949 8.361
ATOMIC_POSITIONS crystal
Er 0.114 0.114 0.114
Er 0.886 0.886 0.886
Be 0.000 0.000 0.000
N 0.500 0.500 0.500
```

***

A geometry-optimized La2AgSn2 structure. Source: Alexandria via LeMat-Bulk, functional PBE. Values from VASP.

The volume comes out at 306.4 Å³/cell. The calculation puts the energy above the most stable polymorph in this dataset at 403 meV/atom. The total energy is -4.422 eV/atom. The formation energy comes out at -0.280 eV/atom.

```
&SYSTEM
  ibrav = 0, nat = 10, ntyp = 3
/
ATOMIC_SPECIES
La 138.91 La.upf
Ag 107.87 Ag.upf
Sn 118.71 Sn.upf
CELL_PARAMETERS angstrom
8.202 0.000 0.000
0.000 8.202 0.000
0.000 0.000 4.555
ATOMIC_POSITIONS crystal
La 0.130 0.370 0.000
La 0.370 0.870 0.000
La 0.630 0.130 0.000
La 0.870 0.630 0.000
Ag 0.000 0.000 0.000
Ag 0.500 0.500 0.000
Sn 0.177 0.677 0.500
Sn 0.323 0.177 0.500
Sn 0.677 0.823 0.500
Sn 0.823 0.323 0.500
```